Compound: Cd3Pd
Source: Alexandria via LeMat-Bulk
Functional: PBEsol
Structure: relaxed

Cell and atoms, written as CIF:
```
data_Cd3Pd
_chemical_formula_sum 'Cd6 Pd2'
_cell_length_a 5.9038
_cell_length_b 5.9038
_cell_length_c 4.7655
_cell_angle_alpha 90.00
_cell_angle_beta 90.00
_cell_angle_gamma 120.00
_symmetry_space_group_name_H-M 'P 63/m m c'
_symmetry_Int_Tables_number 194
_symmetry_space_group_name_Hall '-P 6c 2c'
loop_
_atom_site_label
_atom_site_fract_x
_atom_site_fract_y
_atom_site_fract_z
Cd1 0.1704 0.3408 0.2500
Pd1 0.3333 0.6667 0.7500
```

Values from the calculation:
For the total magnetic moment, the calculation gives 0.00 μB/cell. The energy is -2.63 eV/atom. The formation energy is -0.2430 eV/atom.

---

Compound: CdH2Ru
Source: Alexandria via LeMat-Bulk
Functional: PBEsol
Structure: relaxed

Cell and atoms, written as CIF:
```
data_CdH2Ru
_chemical_formula_sum 'Cd4 H8 Ru4'
_cell_length_a 4.064
_cell_length_b 4.064
_cell_length_c 9.851
_cell_angle_alpha 90.00
_cell_angle_beta 90.00
_cell_angle_gamma 90.00
_symmetry_space_group_name_H-M 'I -4 2 d'
_symmetry_Int_Tables_number 122
_symmetry_space_group_name_Hall 'I -4 2bw'
loop_
_atom_site_label
_atom_site_fract_x
_atom_site_fract_y
_atom_site_fract_z
Cd1 0.000 0.000 0.000
H1 0.138 0.250 0.625
Ru1 0.000 0.000 0.500
```

Values from the calculation:
For the total magnetic moment, the calculation gives 0.00 μB/cell. The energy is -4.23 eV/atom.

---

Compound: Mn3HOs
Source: Alexandria via LeMat-Bulk
Functional: PBEsol
Structure: relaxed

Cell and atoms, written as CIF:
```
data_Mn3HOs
_chemical_formula_sum 'Mn3 H1 Os1'
_cell_length_a 3.604
_cell_length_b 3.604
_cell_length_c 3.604
_cell_angle_alpha 90.00
_cell_angle_beta 90.00
_cell_angle_gamma 90.00
_symmetry_space_group_name_H-M 'P m -3 m'
_symmetry_Int_Tables_number 221
_symmetry_space_group_name_Hall '-P 4 2 3'
loop_
_atom_site_label
_atom_site_fract_x
_atom_site_fract_y
_atom_site_fract_z
Mn1 0.000 0.000 0.500
H1 0.000 0.000 0.000
Os1 0.500 0.500 0.500
```

Values from the calculation:
For the total magnetic moment, the calculation gives 0.53 μB/cell. The energy is -8.95 eV/atom. As for the energy above the lowest structure with this stoichiometry: 78.4 meV/atom.

---

Compound: HoMg3
Source: Alexandria via LeMat-Bulk
Functional: PBEsol
Structure: relaxed

Cell and atoms, written as CIF:
```
data_HoMg3
_chemical_formula_sum 'Ho2 Mg6'
_cell_length_a 6.5959
_cell_length_b 6.5959
_cell_length_c 5.1303
_cell_angle_alpha 90.00
_cell_angle_beta 90.00
_cell_angle_gamma 120.00
_symmetry_space_group_name_H-M 'P 63/m m c'
_symmetry_Int_Tables_number 194
_symmetry_space_group_name_Hall '-P 6c 2c'
loop_
_atom_site_label
_atom_site_fract_x
_atom_site_fract_y
_atom_site_fract_z
Ho1 0.3333 0.6667 0.2500
Mg1 0.1640 0.3281 0.7500
```

Values from the calculation:
For the total magnetic moment, the calculation gives 0.00 μB/cell. The energy is -2.58 eV/atom. The formation energy is -0.0535 eV/atom.